1.
VASP calculation (GGA-PBEsol) on crystalline TaBe2 at its relaxed geometry.

Output
As for the symmetry: Cmcm, No. 63. As for the formation energy: -0.176 eV per atom. The value obtained for the total moment is 0.00 μB/cell. As for the total DFT energy (no corrections): -21.08 eV/f.u.

a = 3.3035 Å, b = 4.6349 Å, c = 4.6614 Å
α = 90.00°, β = 110.75°, γ = 90.00°
Fractional positions:
1 Be 0.0000 0.5000 0.0000
2 Be 0.0000 0.0000 0.0000
3 Be 0.5813 0.7500 0.1626
4 Be 0.4187 0.2500 0.8374
5 Ta 0.7060 0.2500 0.4121
6 Ta 0.2940 0.7500 0.5879



2.
VASP calculation (GGA-PBEsol) on crystalline Co2TeH2 at its relaxed geometry.

Output
As for the symmetry: I4/mmm, No. 139. The value obtained for the total moment is 0.00 μB/cell. As for the total DFT energy (no corrections): -24.73 eV/f.u.

a = 3.0961 Å, b = 3.0961 Å, c = 5.3393 Å
α = 106.85°, β = 106.85°, γ = 90.00°
Fractional positions:
1 H 0.2500 0.7500 0.5000
2 H 0.7500 0.2500 0.5000
3 Te 0.0000 0.0000 0.0000
4 Co 0.3377 0.3377 0.6755
5 Co 0.6623 0.6623 0.3245



3.
VASP calculation (GGA-PBEsol) on crystalline NiAu3 at its relaxed geometry.

Output
As for the symmetry: Pm-3m, No. 221. As for the formation energy: 0.081 eV per atom. The value obtained for the total moment is 0.00 μB/cell. As for the total DFT energy (no corrections): -17.60 eV/f.u.

a = 3.9467 Å, b = 3.9467 Å, c = 3.9467 Å
α = 90.00°, β = 90.00°, γ = 90.00°
Fractional positions:
1 Ni 0.5000 0.5000 0.5000
2 Au 0.0000 0.0000 0.5000
3 Au 0.0000 0.5000 0.0000
4 Au 0.5000 0.0000 0.0000



4.
VASP calculation (GGA-PBEsol) on crystalline Er3Cu4Ge4 at its relaxed geometry.

Output
As for the symmetry: Immm, No. 71. As for the formation energy: -0.622 eV per atom. The value obtained for the total moment is 0.00 μB/cell. As for the total DFT energy (no corrections): -58.71 eV/f.u.

a = 3.8756 Å, b = 4.0426 Å, c = 12.4035 Å
α = 99.38°, β = 98.99°, γ = 90.00°
Fractional positions:
1 Ge 0.9494 0.4494 0.8987
2 Ge 0.0506 0.5506 0.1013
3 Ge 0.1916 0.1916 0.3832
4 Ge 0.8084 0.8084 0.6168
5 Cu 0.9043 0.9043 0.8086
6 Cu 0.2485 0.7485 0.4970
7 Cu 0.7515 0.2515 0.5030
8 Cu 0.0957 0.0957 0.1914
9 Er 0.3506 0.3506 0.7012
10 Er 0.6494 0.6494 0.2988
11 Er 0.5000 0.0000 0.0000



Number 1: N(E_F) 2.39 states/eV per cell. Number 2: N(E_F) 2.97 states/eV per cell. Number 3: N(E_F) 3.30 states/eV per cell. Number 4: N(E_F) 4.91 states/eV per cell.